1.
## LiIn2Sn5 (PBE)

Data for crystalline LiIn2Sn5 at its relaxed geometry.

Properties
**Magnetization**: 0.0 μB/f.u.
**Energy of formation**: -16 meV per atom
**DOS at the Fermi energy**: 0.42 states/eV/atom

POSCAR file:
```
LiIn2Sn5
1.0
-3.998 3.998 3.303
3.998 -3.998 3.303
3.998 3.998 -3.303
Li In Sn
1 2 5
Direct
0.000 0.000 0.000
0.001 0.501 0.500
0.501 0.001 0.500
0.001 0.001 0.500
0.001 0.500 0.000
0.500 0.001 0.000
0.500 0.500 0.500
0.501 0.501 0.000
```


2.
## Li6InSn6 (PBE)

Data for crystalline Li6InSn6 at its relaxed geometry.

Properties
**Magnetization**: 0.0 μB/f.u.
**Energy of formation**: -157 meV per atom
**DOS at the Fermi energy**: 0.28 states/eV/atom

POSCAR file:
```
Li6InSn6
1.0
2.935 -5.685 0.000
2.935 5.685 0.000
0.000 0.000 9.423
Li In Sn
6 1 6
Direct
0.000 0.000 0.175
0.000 0.000 0.825
0.341 0.659 0.500
0.348 0.652 0.000
0.652 0.348 0.000
0.659 0.341 0.500
0.000 0.000 0.500
0.000 0.500 0.251
0.000 0.500 0.749
0.500 0.000 0.251
0.500 0.000 0.749
0.500 0.500 0.254
0.500 0.500 0.746
```


3.
## LiIn3Sn (PBE)

Data for crystalline LiIn3Sn at its relaxed geometry.

Properties
**Magnetization**: 0.0 μB/f.u.
**Energy of formation**: 26 meV per atom
**DOS at the Fermi energy**: 0.39 states/eV/atom
**Distance to the lowest polymorph of the same formula**: 0.1098 eV/atom

POSCAR file:
```
LiIn3Sn
1.0
7.274 0.000 0.000
-3.637 6.300 0.000
0.000 0.000 5.579
Li In Sn
2 6 2
Direct
0.000 0.000 0.000
0.000 0.000 0.500
0.190 0.379 0.250
0.190 0.810 0.250
0.379 0.190 0.750
0.621 0.810 0.250
0.810 0.190 0.750
0.810 0.621 0.750
0.333 0.667 0.750
0.667 0.333 0.250
```


4.
## Li4In3Sn (PBE)

Data for crystalline Li4In3Sn at its relaxed geometry.

Properties
**Magnetization**: 0.0 μB/f.u.
**Energy of formation**: -291 meV per atom
**DOS at the Fermi energy**: 0.30 states/eV/atom

POSCAR file:
```
Li4In3Sn
1.0
9.933 0.000 0.000
0.000 6.284 0.000
0.000 0.000 5.185
Li In Sn
8 6 2
Direct
0.000 0.249 0.000
0.000 0.751 0.000
0.250 0.248 0.356
0.250 0.752 0.356
0.500 0.249 0.000
0.500 0.751 0.000
0.750 0.248 0.644
0.750 0.752 0.644
0.000 0.500 0.500
0.250 0.000 0.866
0.250 0.500 0.870
0.500 0.500 0.500
0.750 0.000 0.134
0.750 0.500 0.130
0.000 0.000 0.500
0.500 0.000 0.500
```


5.
## Li2In3Sn (PBE)

Data for crystalline Li2In3Sn at its relaxed geometry.

Properties
**Magnetization**: 0.0 μB/f.u.
**Energy of formation**: -125 meV per atom
**DOS at the Fermi energy**: 0.30 states/eV/atom
**Distance to the lowest polymorph of the same formula**: 0.0101 eV/atom

POSCAR file:
```
Li2In3Sn
1.0
7.751 -1.540 0.000
7.751 1.540 0.000
-0.969 0.000 6.017
Li In Sn
2 3 1
Direct
0.141 0.141 0.311
0.859 0.859 0.689
0.319 0.319 0.190
0.500 0.500 0.500
0.681 0.681 0.810
0.500 0.500 0.000
```


6.
## Li5In2Sn4 (PBE)

Data for crystalline Li5In2Sn4 at its relaxed geometry.

Properties
**Magnetization**: 0.0 μB/f.u.
**Energy of formation**: -261 meV per atom
**DOS at the Fermi energy**: 0.34 states/eV/atom

POSCAR file:
```
Li5In2Sn4
1.0
7.858 0.000 0.000
0.000 17.979 0.000
0.000 0.000 3.297
Li In Sn
10 4 8
Direct
0.000 0.000 0.000
0.126 0.435 0.000
0.204 0.199 0.000
0.296 0.699 0.000
0.374 0.935 0.000
0.500 0.500 0.000
0.626 0.065 0.000
0.704 0.301 0.000
0.796 0.801 0.000
0.874 0.565 0.000
0.023 0.304 0.500
0.477 0.804 0.500
0.523 0.196 0.500
0.977 0.696 0.500
0.093 0.860 0.500
0.219 0.565 0.500
0.281 0.065 0.500
0.407 0.360 0.500
0.593 0.640 0.500
0.719 0.935 0.500
0.781 0.435 0.500
0.907 0.140 0.500
```


7.
## Li6InSn (PBE)

Data for crystalline Li6InSn at its relaxed geometry.

Properties
**Magnetization**: 0.0 μB/f.u.
**Energy of formation**: -268 meV per atom
**DOS at the Fermi energy**: 0.29 states/eV/atom

POSCAR file:
```
Li6InSn
1.0
4.694 0.000 0.000
0.000 3.279 4.736
0.000 -3.279 4.736
Li In Sn
6 1 1
Direct
0.000 0.000 0.000
0.000 0.497 0.982
0.000 0.982 0.497
0.500 0.217 0.725
0.500 0.703 0.703
0.500 0.725 0.217
0.500 0.225 0.225
0.000 0.485 0.485
```


8.
## LiIn2Sn2 (PBE)

Data for crystalline LiIn2Sn2 at its relaxed geometry.

Properties
**Magnetization**: 0.0 μB/f.u.
**Energy of formation**: -31 meV per atom
**DOS at the Fermi energy**: 0.45 states/eV/atom
**Distance to the lowest polymorph of the same formula**: 0.0000 eV/atom

POSCAR file:
```
LiIn2Sn2
1.0
7.749 0.000 0.000
0.000 7.749 0.000
0.000 0.000 4.447
Li In Sn
2 4 4
Direct
0.000 0.000 0.000
0.500 0.500 0.000
0.165 0.335 0.500
0.335 0.835 0.500
0.665 0.165 0.500
0.835 0.665 0.500
0.140 0.640 0.000
0.360 0.140 0.000
0.640 0.860 0.000
0.860 0.360 0.000
```